Entry 1:
Entry from the Alexandria database: a geometry-optimized CsMnP3 structure (PBE-GGA).

```
CsMnP3
1.0
5.449 0.000 0.000
0.000 5.449 0.000
0.000 0.000 5.449
Cs Mn P
1 1 3
Direct
0.000 0.000 0.000
0.500 0.500 0.500
0.000 0.000 0.500
0.000 0.500 0.000
0.500 0.000 0.000
```

ΔE_f: 2257 meV/atom
crystal system: cubic

Entry 2:
Entry from the Alexandria database: a geometry-optimized CsMnPPb2 structure (PBE-GGA).

```
CsMnPPb2
1.0
5.157 0.000 0.000
0.000 5.157 0.000
0.000 0.000 5.619
Cs Mn P Pb
1 1 1 2
Direct
0.000 0.000 0.000
0.000 0.000 0.500
0.500 0.500 0.000
0.000 0.500 0.500
0.500 0.000 0.500
```

ΔE_f: 874 meV/atom
crystal system: tetragonal

Entry 3:
Entry from the Alexandria database: a geometry-optimized CsMnP2Pt structure (PBE-GGA).

```
CsMnP2Pt
1.0
4.628 0.000 0.000
0.000 4.628 0.000
0.000 0.000 6.001
Cs Mn P Pt
1 1 2 1
Direct
0.000 0.000 0.000
0.500 0.500 0.000
0.000 0.500 0.500
0.500 0.000 0.500
0.000 0.000 0.500
```

ΔE_f: 907 meV/atom
crystal system: tetragonal

Entry 4:
Entry from the Alexandria database: a geometry-optimized Cs2MnP2S6 structure (PBE-GGA).

```
Cs2MnP2S6
1.0
3.495 2.018 6.597
-3.495 2.018 6.597
0.000 -4.035 6.597
Cs Mn P S
2 1 2 6
Direct
0.242 0.242 0.242
0.758 0.758 0.758
0.000 0.000 0.000
0.440 0.440 0.440
0.560 0.560 0.560
0.252 0.747 0.747
0.253 0.253 0.748
0.253 0.748 0.253
0.747 0.252 0.747
0.747 0.747 0.252
0.748 0.253 0.253
```

formation energy (no corrections): -0.592 eV/atom
crystal system: trigonal